First-principles (GGA-PBE) data for a relaxed structure of Cd2In5Sn4, as listed in Alexandria via LeMat-Bulk.

Cell: 3.1766 8.1428 11.6625 Å, 93.84 97.83 90.00°
Element x y z (fractional)
1 Cd 0.9105 0.2613 0.8210
2 Cd 0.0895 0.7387 0.1790
3 In 0.1390 0.0982 0.2780
4 In 0.8610 0.9018 0.7220
5 In 0.2306 0.8148 0.4612
6 In 0.5000 0.0000 0.0000
7 In 0.7694 0.1852 0.5388
8 Sn 0.6771 0.4722 0.3541
9 Sn 0.0472 0.3649 0.0945
10 Sn 0.3229 0.5278 0.6459
11 Sn 0.9528 0.6351 0.9055

Theoretical density in g/cm3: 7.1
Total moment in μB/cell: 0.00
SG: C2/m, No. 12
Electronic total energy in eV/cell: -30.99
Crystal system: monoclinic
Formation energy in meV/atom: 49